La2TmSi3Pt4 PBE optimized geometry; space group = P-4m2 (115); formation energy without anion corrections = -1100 meV per atom
1.0
-2.004 -1.766 -3.401
3.791 -0.357 -2.049
1.377 -9.741 4.246
La Pt Si Tm
2 4 3 1
Direct
0.000 0.500 0.768 La
0.500 0.000 0.232 La
0.500 0.000 0.656 Pt
0.000 0.000 0.000 Pt
0.000 0.500 0.344 Pt
0.500 0.500 0.000 Pt
0.500 0.000 0.882 Si
0.000 0.500 0.118 Si
0.000 0.000 0.500 Si
0.500 0.500 0.500 Tm

=====

SiAs2Ru PBE optimized geometry; space group = Cm (8); formation energy without anion corrections = -9 meV per atom
1.0
-2.233 -2.705 -2.440
0.644 -3.547 -2.294
-1.499 -4.366 4.374
Si As Ru
1 2 1
Direct
0.241 0.241 0.305 Si
0.764 0.764 0.661 As
0.989 0.989 0.101 As
0.506 0.506 0.433 Ru

=====

Tb6Dy2Ho PBE optimized geometry; relative energy among the computed polymorphs = 0.0 meV per atom; space group = P-1 (2); ΔE_f = 15 meV/atom
1.0
-1.355 -0.470 -3.245
-2.356 -8.067 2.163
-6.453 10.993 -0.839
Tb Ho Dy
6 1 2
Direct
0.222 0.889 0.556 Tb
0.667 0.667 0.667 Tb
0.888 0.555 0.222 Tb
0.112 0.445 0.778 Tb
0.778 0.111 0.444 Tb
0.333 0.333 0.333 Tb
0.000 0.000 0.000 Ho
0.555 0.222 0.889 Dy
0.445 0.778 0.111 Dy

=====

CaHf2F11 PBE optimized geometry; space group = Ibam (72); formation energy without anion corrections = -3542 meV per atom
1.0
6.942 0.000 3.618
3.181 7.386 2.366
0.045 -0.072 8.382
F Ca Hf
22 2 4
Direct
0.127 0.218 0.782 F
0.760 0.452 0.818 F
0.240 0.548 0.182 F
0.000 0.000 0.000 F
0.469 0.952 0.318 F
0.873 0.782 0.218 F
0.607 0.210 0.052 F
0.131 0.052 0.210 F
0.260 0.318 0.952 F
0.627 0.282 0.718 F
0.531 0.048 0.682 F
0.031 0.182 0.548 F
0.393 0.790 0.948 F
0.373 0.718 0.282 F
0.740 0.682 0.048 F
0.369 0.290 0.448 F
0.869 0.948 0.790 F
0.893 0.448 0.290 F
0.631 0.710 0.552 F
0.500 0.500 0.500 F
0.107 0.552 0.710 F
0.969 0.818 0.452 F
0.250 0.250 0.250 Ca
0.750 0.750 0.750 Ca
0.136 0.819 0.181 Hf
0.864 0.181 0.819 Hf
0.364 0.319 0.681 Hf
0.636 0.681 0.319 Hf

=====

What did the second record say?
SiAs2Ru PBE optimized geometry; space group = Cm (8); formation energy without anion corrections = -9 meV per atom
1.0
-2.233 -2.705 -2.440
0.644 -3.547 -2.294
-1.499 -4.366 4.374
Si As Ru
1 2 1
Direct
0.241 0.241 0.305 Si
0.764 0.764 0.661 As
0.989 0.989 0.101 As
0.506 0.506 0.433 Ru